Material: Ce3PuN6
Method: DFT, PBE
State: optimized geometry

- formation energy from raw total energies (eV/f.u.) = -12.4
- crystal system = trigonal
- space-group type = R-3
- N(E_F) (states/eV per cell) = 15.354

a = 6.846 Å, b = 6.846 Å, c = 6.846 Å
α = 91.64°, β = 91.64°, γ = 91.64°
Fractional positions:
1 Ce 0.054 0.751 0.559
2 Ce 0.249 0.441 0.946
3 Ce 0.441 0.946 0.249
4 Ce 0.559 0.054 0.751
5 Ce 0.751 0.559 0.054
6 Ce 0.946 0.249 0.441
7 Pu 0.000 0.000 0.000
8 Pu 0.500 0.500 0.500
9 N 0.034 0.700 0.907
10 N 0.093 0.966 0.300
11 N 0.200 0.446 0.582
12 N 0.300 0.093 0.966
13 N 0.418 0.800 0.554
14 N 0.446 0.582 0.200
15 N 0.554 0.418 0.800
16 N 0.582 0.200 0.446
17 N 0.700 0.907 0.034
18 N 0.800 0.554 0.418
19 N 0.907 0.034 0.700
20 N 0.966 0.300 0.093

***

Material: CePu2N
Method: DFT, PBE
State: optimized geometry

- formation energy from raw total energies (eV/f.u.) = -1.8
- crystal system = trigonal
- ΔE to the lowest computed polymorph (meV/atom) = 0.0
- space-group type = R-3m
- N(E_F) (states/eV per cell) = 12.400

a = 8.238 Å, b = 8.238 Å, c = 8.238 Å
α = 24.22°, β = 24.22°, γ = 24.22°
Fractional positions:
1 Ce 0.000 0.000 0.000
2 Pu 0.224 0.224 0.224
3 Pu 0.776 0.776 0.776
4 N 0.500 0.500 0.500

***

Material: Ce2PuN
Method: DFT, PBE
State: optimized geometry

- formation energy from raw total energies (eV/f.u.) = -2.1
- crystal system = trigonal
- ΔE to the lowest computed polymorph (meV/atom) = 0.0
- space-group type = R-3m
- N(E_F) (states/eV per cell) = 10.674

a = 8.916 Å, b = 8.916 Å, c = 8.916 Å
α = 21.97°, β = 21.97°, γ = 21.97°
Fractional positions:
1 Ce 0.111 0.111 0.111
2 Ce 0.889 0.889 0.889
3 Pu 0.000 0.000 0.000
4 N 0.500 0.500 0.500

***

Material: CePu2N
Method: DFT, PBE
State: optimized geometry

- formation energy from raw total energies (eV/f.u.) = 0.4
- crystal system = tetragonal
- ΔE to the lowest computed polymorph (meV/atom) = 541.5
- space-group type = P4/mmm
- N(E_F) (states/eV per cell) = 7.311

a = 3.383 Å, b = 3.383 Å, c = 7.220 Å
α = 90.00°, β = 90.00°, γ = 90.00°
Fractional positions:
1 Ce 0.000 0.000 0.000
2 Pu 0.000 0.500 0.500
3 Pu 0.500 0.000 0.500
4 N 0.500 0.500 0.000

***

Material: CePu2N
Method: DFT, PBE
State: optimized geometry

- formation energy from raw total energies (eV/f.u.) = -0.6
- crystal system = tetragonal
- ΔE to the lowest computed polymorph (meV/atom) = 290.1
- space-group type = P4/mmm
- N(E_F) (states/eV per cell) = 10.903

a = 3.072 Å, b = 3.072 Å, c = 8.584 Å
α = 90.00°, β = 90.00°, γ = 90.00°
Fractional positions:
1 Ce 0.000 0.000 0.000
2 Pu 0.500 0.500 0.336
3 Pu 0.500 0.500 0.664
4 N 0.000 0.000 0.500

***

Material: Ce5Pu3N8
Method: DFT, PBE
State: optimized geometry

- formation energy from raw total energies (eV/f.u.) = -22.6
- crystal system = trigonal
- space-group type = R-3m
- N(E_F) (states/eV per cell) = 20.018

a = 7.075 Å, b = 7.075 Å, c = 7.075 Å
α = 60.03°, β = 60.03°, γ = 60.03°
Fractional positions:
1 Ce 0.000 0.000 0.000
2 Ce 0.000 0.500 0.500
3 Ce 0.500 0.000 0.500
4 Ce 0.500 0.500 0.000
5 Ce 0.500 0.500 0.500
6 Pu 0.000 0.000 0.500
7 Pu 0.000 0.500 0.000
8 Pu 0.500 0.000 0.000
9 N 0.244 0.750 0.750
10 N 0.245 0.245 0.245
11 N 0.250 0.250 0.756
12 N 0.250 0.756 0.250
13 N 0.750 0.244 0.750
14 N 0.750 0.750 0.244
15 N 0.755 0.755 0.755
16 N 0.756 0.250 0.250

***

Material: CePuN3
Method: DFT, PBE
State: optimized geometry

- formation energy from raw total energies (eV/f.u.) = -5.4
- crystal system = orthorhombic
- space-group type = Pnma
- N(E_F) (states/eV per cell) = 21.577

a = 6.098 Å, b = 3.440 Å, c = 13.004 Å
α = 90.00°, β = 90.00°, γ = 90.00°
Fractional positions:
1 Ce 0.185 0.250 0.201
2 Ce 0.315 0.750 0.701
3 Ce 0.685 0.250 0.299
4 Ce 0.815 0.750 0.799
5 Pu 0.244 0.750 0.452
6 Pu 0.256 0.250 0.952
7 Pu 0.744 0.750 0.048
8 Pu 0.756 0.250 0.548
9 N 0.050 0.250 0.397
10 N 0.137 0.250 0.786
11 N 0.143 0.750 0.051
12 N 0.357 0.250 0.551
13 N 0.363 0.750 0.286
14 N 0.450 0.750 0.897
15 N 0.550 0.250 0.103
16 N 0.637 0.250 0.714
17 N 0.643 0.750 0.449
18 N 0.857 0.250 0.949
19 N 0.863 0.750 0.214
20 N 0.950 0.750 0.603

***

Material: Ce5PuN8
Method: DFT, PBE
State: optimized geometry

- formation energy from raw total energies (eV/f.u.) = -17.1
- crystal system = tetragonal
- space-group type = I-4
- N(E_F) (states/eV per cell) = 13.824

a = 6.404 Å, b = 6.404 Å, c = 6.404 Å
α = 109.58°, β = 109.58°, γ = 109.24°
Fractional positions:
1 Ce 0.000 0.000 0.000
2 Ce 0.246 0.123 0.619
3 Ce 0.373 0.754 0.877
4 Ce 0.504 0.627 0.381
5 Ce 0.877 0.496 0.123
6 Pu 0.750 0.250 0.500
7 N 0.012 0.764 0.635
8 N 0.108 0.365 0.850
9 N 0.129 0.378 0.365
10 N 0.236 0.871 0.249
11 N 0.515 0.258 0.150
12 N 0.622 0.988 0.751
13 N 0.635 0.485 0.743
14 N 0.742 0.892 0.257

***

Material: Ce3PuN4
Method: DFT, PBE
State: optimized geometry

- formation energy from raw total energies (eV/f.u.) = -11.5
- crystal system = tetragonal
- ΔE to the lowest computed polymorph (meV/atom) = 5.6
- space-group type = P4/mmm
- N(E_F) (states/eV per cell) = 11.375

a = 3.545 Å, b = 3.545 Å, c = 10.068 Å
α = 90.00°, β = 90.00°, γ = 90.00°
Fractional positions:
1 Ce 0.000 0.000 0.000
2 Ce 0.500 0.500 0.251
3 Ce 0.500 0.500 0.749
4 Pu 0.000 0.000 0.500
5 N 0.000 0.000 0.253
6 N 0.000 0.000 0.747
7 N 0.500 0.500 0.000
8 N 0.500 0.500 0.500

***

Material: Ce2PuN
Method: DFT, PBE
State: optimized geometry

- formation energy from raw total energies (eV/f.u.) = -1.2
- crystal system = tetragonal
- ΔE to the lowest computed polymorph (meV/atom) = 233.5
- space-group type = P4/mmm
- N(E_F) (states/eV per cell) = 10.158

a = 3.045 Å, b = 3.045 Å, c = 8.722 Å
α = 90.00°, β = 90.00°, γ = 90.00°
Fractional positions:
1 Ce 0.000 0.000 0.167
2 Ce 0.000 0.000 0.833
3 Pu 0.500 0.500 0.500
4 N 0.500 0.500 0.000

***

Material: CePu2N3
Method: DFT, PBE
State: optimized geometry

- formation energy from raw total energies (eV/f.u.) = -6.0
- crystal system = tetragonal
- ΔE to the lowest computed polymorph (meV/atom) = 331.2
- space-group type = P-4m2
- N(E_F) (states/eV per cell) = 13.684

a = 3.403 Å, b = 3.403 Å, c = 8.740 Å
α = 90.00°, β = 90.00°, γ = 90.00°
Fractional positions:
1 Ce 0.000 0.000 0.000
2 Pu 0.000 0.500 0.647
3 Pu 0.500 0.000 0.353
4 N 0.000 0.500 0.392
5 N 0.500 0.000 0.608
6 N 0.500 0.500 0.000

***

Material: CePuN3
Method: DFT, PBE
State: optimized geometry

- formation energy from raw total energies (eV/f.u.) = -3.9
- crystal system = hexagonal
- space-group type = P6_322
- N(E_F) (states/eV per cell) = 11.546

a = 5.892 Å, b = 5.892 Å, c = 5.424 Å
α = 90.00°, β = 90.00°, γ = 120.00°
Fractional positions:
1 Ce 0.333 0.667 0.250
2 Ce 0.667 0.333 0.750
3 Pu 0.000 0.000 0.250
4 Pu 0.000 0.000 0.750
5 N 0.000 0.298 0.500
6 N 0.000 0.702 0.000
7 N 0.298 0.000 0.500
8 N 0.298 0.298 0.000
9 N 0.702 0.000 0.000
10 N 0.702 0.702 0.500